No. 1
Density functional theory data (SCAN) for a crystal of CsCaPPd2 relaxed with PBEsol.

Computed properties:
* DFT formation energy: 1.2477 eV per atom
* crystal system: tetragonal

The structure in CIF format:
```
data_CsCaPPd2
_space_group_name_H-M_alt 'P 4/m m m'
_space_group_IT_number 123
_space_group_name_Hall '-P 4 2'
_cell_length_a 4.978
_cell_length_b 4.978
_cell_length_c 5.933
_cell_angle_alpha 90.00
_cell_angle_beta 90.00
_cell_angle_gamma 90.00
loop_
_atom_site_label
_atom_site_fract_x
_atom_site_fract_y
_atom_site_fract_z
Cs1 0.000 0.000 0.000
Ca1 0.000 0.000 0.500
P1 0.500 0.500 0.500
Pd1 0.000 0.500 0.000
```



No. 2
Density functional theory data (SCAN) for a crystal of CsCa2Pb2 relaxed with PBEsol.

Computed properties:
* DFT formation energy: -0.5481 eV per atom
* crystal system: tetragonal

The structure in CIF format:
```
data_CsCa2Pb2
_space_group_name_H-M_alt 'P 4/m b m'
_space_group_IT_number 127
_space_group_name_Hall '-P 4 2ab'
_cell_length_a 9.822
_cell_length_b 9.822
_cell_length_c 3.476
_cell_angle_alpha 90.00
_cell_angle_beta 90.00
_cell_angle_gamma 90.00
loop_
_atom_site_label
_atom_site_fract_x
_atom_site_fract_y
_atom_site_fract_z
Cs1 0.000 0.000 0.000
Ca1 0.127 0.373 0.000
Pb1 0.168 0.668 0.500
```



No. 3
Density functional theory data (SCAN) for a crystal of Cs2CaPb2 relaxed with PBEsol.

Computed properties:
* DFT formation energy: -0.1447 eV per atom
* crystal system: tetragonal

The structure in CIF format:
```
data_Cs2CaPb2
_space_group_name_H-M_alt 'I 4/m m m'
_space_group_IT_number 139
_space_group_name_Hall '-I 4 2'
_cell_length_a 4.915
_cell_length_b 4.915
_cell_length_c 16.990
_cell_angle_alpha 90.00
_cell_angle_beta 90.00
_cell_angle_gamma 90.00
loop_
_atom_site_label
_atom_site_fract_x
_atom_site_fract_y
_atom_site_fract_z
Cs1 0.000 0.500 0.250
Ca1 0.000 0.000 0.000
Pb1 0.000 0.000 0.417
```



No. 4
Density functional theory data (SCAN) for a crystal of CsCaTl2Pb relaxed with PBEsol.

Computed properties:
* DFT formation energy: 0.7247 eV per atom
* crystal system: tetragonal

The structure in CIF format:
```
data_CsCaTl2Pb
_space_group_name_H-M_alt 'P 4/m m m'
_space_group_IT_number 123
_space_group_name_Hall '-P 4 2'
_cell_length_a 6.079
_cell_length_b 6.079
_cell_length_c 6.238
_cell_angle_alpha 90.00
_cell_angle_beta 90.00
_cell_angle_gamma 90.00
loop_
_atom_site_label
_atom_site_fract_x
_atom_site_fract_y
_atom_site_fract_z
Cs1 0.000 0.000 0.000
Ca1 0.500 0.500 0.500
Tl1 0.000 0.500 0.000
Pb1 0.000 0.000 0.500
```



No. 5
Density functional theory data (SCAN) for a crystal of CsCa3Pd relaxed with PBEsol.

Computed properties:
* DFT formation energy: -0.2057 eV per atom
* crystal system: cubic

The structure in CIF format:
```
data_CsCa3Pd
_space_group_name_H-M_alt 'P m -3 m'
_space_group_IT_number 221
_space_group_name_Hall '-P 4 2 3'
_cell_length_a 5.789
_cell_length_b 5.789
_cell_length_c 5.789
_cell_angle_alpha 90.00
_cell_angle_beta 90.00
_cell_angle_gamma 90.00
loop_
_atom_site_label
_atom_site_fract_x
_atom_site_fract_y
_atom_site_fract_z
Cs1 0.000 0.000 0.000
Ca1 0.000 0.500 0.500
Pd1 0.500 0.500 0.500
```



No. 6
Density functional theory data (SCAN) for a crystal of CsCa2RhSe relaxed with PBEsol.

Computed properties:
* E_form (uncorrected): -4.621 kcal/mol of atoms
* crystal system: tetragonal

The structure in CIF format:
```
data_CsCa2RhSe
_space_group_name_H-M_alt 'P 4/m m m'
_space_group_IT_number 123
_space_group_name_Hall '-P 4 2'
_cell_length_a 5.605
_cell_length_b 5.605
_cell_length_c 4.820
_cell_angle_alpha 90.00
_cell_angle_beta 90.00
_cell_angle_gamma 90.00
loop_
_atom_site_label
_atom_site_fract_x
_atom_site_fract_y
_atom_site_fract_z
Cs1 0.000 0.000 0.000
Ca1 0.000 0.500 0.500
Rh1 0.500 0.500 0.000
Se1 0.500 0.500 0.500
```